Crystalline AlSnAu at its relaxed geometry. Source: Alexandria, functional PBE.

Crystal system: triclinic
Raw total energy, eV for the cell shown: -22.91

Cell lengths 4.758, 5.053, 5.484 Å; angles 90.00, 89.96, 89.22 degrees
Space group P1 (No. 1)
Inequivalent atoms, fractional coordinates:
Al1 0.000 0.000 0.000 (multiplicity 1)
Al2 0.482 0.661 0.001 (multiplicity 1)
Sn1 0.241 0.332 0.604 (multiplicity 1)
Sn2 0.741 0.831 0.549 (multiplicity 1)
Au1 0.502 0.154 0.151 (multiplicity 1)
Au2 0.980 0.507 0.151 (multiplicity 1)